Record 1
## ScSe2IN (PBE)

Data for a relaxed structure of ScSe2IN.

For the total energy, the calculation gives -0.1623 hartree per atom. The calculation puts the uncorrected formation energy at 21.20 kJ/mol of atoms. The calculation puts the density of states at the Fermi level at 6.7 states/eV/cell.

Unit cell a=5.3896 b=5.3896 c=4.0413 alpha=90.00 beta=90.00 gamma=90.00
With the nearest neighbours (Å) after each atom.
Positions (direct):
I 0.5000 0.5000 0.5000  8 Se 3.37
Sc 0.0000 0.0000 0.0000  2 N 2.02
Se 0.0000 0.5000 0.0000  2 Sc 2.69
Se 0.5000 0.0000 0.0000  2 Sc 2.69
N 0.0000 0.0000 0.5000  2 Sc 2.02

=====

Record 2
## TaCd2Ag (PBE)

Data for a relaxed structure of TaCd2Ag.

Its formation energy is 0.32 eV per atom. For the total energy, the calculation gives -0.1403 hartree per atom. The calculation puts the density of states at the Fermi level at 1.9 states/eV/cell.

Unit cell a=2.8779 b=4.3198 c=6.2357 alpha=90.00 beta=90.00 gamma=90.00
With the nearest neighbours (Å) after each atom.
Positions (direct):
Cd 0.0000 0.0000 0.9926  6 Cd 2.88-3.08, 2 Ta 3.03-3.21, 4 Ag 3.03
Cd 0.5000 0.5000 0.2596  6 Cd 2.88-3.08, 1 Ag 3.00, 4 Ta 3.02
Ag 0.5000 0.5000 0.7409  2 Ag 2.88, 4 Ta 2.98, 5 Cd 3.00-3.03
Ta 0.0000 0.0000 0.5070  2 Ta 2.88, 4 Ag 2.98, 6 Cd 3.02-3.21

=====

Record 3
## MgTc2Ni (PBE)

Data for a relaxed structure of MgTc2Ni.

Its formation energy is 0.29 eV per atom. For the total energy, the calculation gives -0.2475 hartree per atom. The calculation puts the density of states at the Fermi level at 4.6 states/eV/cell.

Unit cell a=3.0904 b=3.0904 c=6.2473 alpha=90.00 beta=90.00 gamma=90.00
With the nearest neighbours (Å) after each atom.
Positions (direct):
Mg 0.5000 0.5000 0.2500  8 Tc 2.89, 4 Mg 3.09, 2 Ni 3.12
Ni 0.5000 0.5000 0.7500  8 Tc 2.51
Tc 0.0000 0.0000 0.9480  1 Tc 2.47, 4 Ni 2.51
Tc 0.0000 0.0000 0.5520  1 Tc 2.47, 4 Ni 2.51

=====

Record 4
## BePt4Pb (PBE)

Data for a relaxed structure of BePt4Pb.

Its formation energy is 0.14 eV per atom. For the total energy, the calculation gives -0.1882 hartree per atom. The calculation puts the density of states at the Fermi level at 7.8 states/eV/cell.

Unit cell a=5.3595 b=5.3595 c=5.3595 alpha=60.00 beta=60.00 gamma=60.00
With the nearest neighbours (Å) after each atom.
Positions (direct):
Be 0.2500 0.2500 0.2500  12 Pt 3.14, 4 Pb 3.28
Pt 0.6245 0.6245 0.1264  6 Pt 2.67-2.69
Pt 0.6245 0.1264 0.6245  6 Pt 2.67-2.69
Pt 0.6245 0.6245 0.6245  6 Pt 2.67-2.69
Pt 0.1264 0.6245 0.6245  6 Pt 2.67-2.69
Pb 0.0000 0.0000 0.0000  12 Pt 3.14, 4 Be 3.28

=====

Record 5
## AlH3Pb (PBE)

Data for a relaxed structure of AlH3Pb.

For the total energy, the calculation gives -0.1145 hartree per atom. The calculation puts the density of states at the Fermi level at 2.0 states/eV/cell.

Unit cell a=3.8710 b=3.8710 c=3.8710 alpha=90.00 beta=90.00 gamma=90.00
With the nearest neighbours (Å) after each atom.
Positions (direct):
Pb 0.5000 0.5000 0.5000  12 H 2.74
H 0.0000 0.5000 0.0000  2 Al 1.94
H 0.0000 0.0000 0.5000  2 Al 1.94
H 0.5000 0.0000 0.0000  2 Al 1.94
Al 0.0000 0.0000 0.0000  6 H 1.94

=====

Record 6
## Ho2TmSc2 (PBE)

Data for a relaxed structure of Ho2TmSc2.

Its formation energy is 0.08 eV per atom. For the total energy, the calculation gives -0.1904 hartree per atom. The calculation puts the density of states at the Fermi level at 8.0 states/eV/cell.

Unit cell a=9.0041 b=9.0041 c=3.5038 alpha=90.00 beta=90.00 gamma=90.00
With the nearest neighbours (Å) after each atom.
Positions (direct):
Ho 0.3247 0.8247 0.5000  6 Sc 3.13-3.23, 2 Ho 3.50
Ho 0.8247 0.6753 0.5000  6 Sc 3.13-3.23, 2 Ho 3.50
Ho 0.6753 0.1753 0.5000  6 Sc 3.13-3.23, 2 Ho 3.50
Ho 0.1753 0.3247 0.5000  6 Sc 3.13-3.23, 2 Ho 3.50
Tm 0.0000 0.0000 0.0000  2 Tm 3.50, 4 Sc 3.58, 8 Ho 3.76
Tm 0.5000 0.5000 0.0000  2 Tm 3.50, 4 Sc 3.58, 8 Ho 3.76
Sc 0.1210 0.6210 0.0000  1 Sc 3.08, 6 Ho 3.13-3.23
Sc 0.6210 0.8790 0.0000  1 Sc 3.08, 6 Ho 3.13-3.23
Sc 0.8790 0.3790 0.0000  1 Sc 3.08, 6 Ho 3.13-3.23
Sc 0.3790 0.1210 0.0000  1 Sc 3.08, 6 Ho 3.13-3.23

=====

Record 7
## In2NiSb (PBE)

Data for a relaxed structure of In2NiSb.

For the total energy, the calculation gives -0.1313 hartree per atom. The calculation puts the uncorrected formation energy at 26.34 kJ/mol of atoms. The calculation puts the density of states at the Fermi level at 1.9 states/eV/cell.

Unit cell a=4.3008 b=4.3008 c=4.7066 alpha=90.00 beta=90.00 gamma=90.00
With the nearest neighbours (Å) after each atom.
Positions (direct):
In 0.0000 0.0000 0.0000  4 In 3.04, 4 Sb 3.19, 4 Ni 3.19
In 0.5000 0.5000 0.0000  4 In 3.04, 4 Sb 3.19, 4 Ni 3.19
Ni 0.5000 0.0000 0.5000  4 Sb 3.04, 8 In 3.19
Sb 0.0000 0.5000 0.5000  4 Ni 3.04, 8 In 3.19

=====

Record 8
## Zr2ScNCl (PBE)

Data for a relaxed structure of Zr2ScNCl.

For the total energy, the calculation gives -0.2183 hartree per atom. The calculation puts the uncorrected formation energy at 75.31 kJ/mol of atoms. The calculation puts the density of states at the Fermi level at 4.4 states/eV/cell.

Unit cell a=4.8047 b=4.4341 c=4.8047 alpha=90.00 beta=90.00 gamma=90.00
With the nearest neighbours (Å) after each atom.
Positions (direct):
Sc 0.5000 0.5000 0.5000  8 Zr 3.27, 4 N 3.40
N 0.0000 0.5000 0.0000  2 Cl 2.22
Zr 0.0000 0.0000 0.5000  2 Cl 2.40
Zr 0.5000 0.0000 0.0000  2 Cl 2.40
Cl 0.0000 0.0000 0.0000  2 N 2.22, 4 Zr 2.40

=====

Record 9
## Li3Al2Ga4 (PBE)

Data for a relaxed structure of Li3Al2Ga4.

Its formation energy is -0.17 eV per atom. For the total energy, the calculation gives -0.1096 hartree per atom. The calculation puts the density of states at the Fermi level at 2.1 states/eV/cell.

Unit cell a=4.4927 b=4.5185 c=8.7606 alpha=95.30 beta=90.00 gamma=119.81
With the nearest neighbours (Å) after each atom.
Positions (direct):
Li 0.6283 0.2566 0.7652  7 Ga 2.69-2.99, 3 Al 2.94-2.97
Li 0.0000 0.0000 0.0000  8 Ga 2.68-2.97
Li 0.3717 0.7434 0.2348  7 Ga 2.69-2.99, 3 Al 2.94-2.97
Al 0.7259 0.4519 0.3947  5 Ga 2.64-2.79, 2 Al 2.91, 2 Li 2.94
Al 0.2741 0.5481 0.6053  5 Ga 2.64-2.79, 2 Al 2.91, 2 Li 2.94
Ga 0.6763 0.3526 0.0742  7 Li 2.68-2.99, 1 Al 2.79, 3 Ga 2.90-2.93
Ga 0.3237 0.6474 0.9258  7 Li 2.68-2.99, 1 Al 2.79, 3 Ga 2.90-2.93
Ga 0.9482 0.8963 0.6589  4 Al 2.64-2.74, 3 Li 2.76-2.77
Ga 0.0518 0.1037 0.3412  4 Al 2.64-2.74, 3 Li 2.76-2.77

=====

Record 10
## Ac4In5Ge2 (PBE)

Data for a relaxed structure of Ac4In5Ge2.

Its formation energy is -0.50 eV per atom. For the total energy, the calculation gives -0.1500 hartree per atom. The calculation puts the density of states at the Fermi level at 8.6 states/eV/cell.

Unit cell a=4.8540 b=7.8799 c=9.0254 alpha=91.97 beta=90.00 gamma=90.00
With the nearest neighbours (Å) after each atom.
Positions (direct):
Ac 0.5000 0.7637 0.5974  4 Ge 3.41-3.48, 6 In 3.53-3.73
Ac 0.5000 0.2097 0.8600  2 Ge 3.35, 8 In 3.50-3.64
Ac 0.5000 0.2363 0.4026  4 Ge 3.41-3.48, 6 In 3.53-3.73
Ac 0.5000 0.7903 0.1400  2 Ge 3.35, 8 In 3.50-3.64
In 0.0000 0.5514 0.3384  1 Ge 2.91, 2 In 3.05-3.07
In 0.0000 0.1340 0.1285  1 Ge 2.83, 2 In 3.08-3.15
In 0.0000 0.5000 0.0000  4 In 3.07-3.15
In 0.0000 0.8660 0.8715  1 Ge 2.83, 2 In 3.08-3.15
In 0.0000 0.4486 0.6616  1 Ge 2.91, 2 In 3.05-3.07
Ge 0.0000 0.0799 0.6261  1 Ge 2.56, 1 In 2.83
Ge 0.0000 0.9201 0.3739  1 Ge 2.56, 1 In 2.83

=====

Record 11
## LiEuSe (PBE)

Data for a relaxed structure of LiEuSe.

For the total energy, the calculation gives -0.2373 hartree per atom. The calculation puts the uncorrected formation energy at -118.86 kJ/mol of atoms. The calculation puts the density of states at the Fermi level at 0.3 states/eV/cell.

Unit cell a=4.3509 b=4.2600 c=4.2600 alpha=120.00 beta=90.00 gamma=90.00
With the nearest neighbours (Å) after each atom.
Positions (direct):
Eu 0.6667 0.6667 0.3333  6 Li 3.28, 6 Se 3.28
Se 0.1668 0.0000 0.0000  3 Li 2.46
Li 0.1665 0.3333 0.6667  3 Se 2.46